Record 1
TaTlSb2 | PBEsol | optimized geometry

The calculation puts the total DFT energy (no corrections) at -5.3835 eV/atom. The calculation puts the volume at 368.20 Å³ per cell. The calculation puts the relative energy among the computed polymorphs at 636 meV/atom.

The space group is F-43m (No. 216) and the conventional cell measures 7.167, 7.167 and 7.167 Å, with angles of 90.00, 90.00 and 90.00 degrees. The distinct sites, in fractional coordinates, are Ta at (0.000, 0.000, 0.000), Tl at (0.250, 0.250, 0.750), Sb at (0.000, 0.000, 0.500) and Sb at (0.250, 0.250, 0.250).



Record 2
TaTlSb2 | PBEsol | optimized geometry

The calculation puts the total DFT energy (no corrections) at -5.5220 eV/atom. The calculation puts the volume at 183.08 Å³ per cell. The calculation puts the relative energy among the computed polymorphs at 498 meV/atom.

The space group is I-4m2 (No. 119) and the conventional cell measures 4.289, 4.289 and 9.954 Å, with angles of 90.00, 90.00 and 90.00 degrees. The distinct sites, in fractional coordinates, are Ta at (0.000, 0.000, 0.000), Tl at (0.000, 0.500, 0.250), Sb at (0.000, 0.000, 0.500) and Sb at (0.000, 0.500, 0.750).



Record 3
TaTlSb2 | PBEsol | optimized geometry

The calculation puts the total DFT energy (no corrections) at -6.0198 eV/atom. The calculation puts the volume at 96.35 Å³ per cell. The calculation puts the relative energy among the computed polymorphs at 0 meV/atom.

The space group is Pmmm (No. 47) and the conventional cell measures 3.150, 3.603 and 8.489 Å, with angles of 90.00, 90.00 and 90.00 degrees. The distinct sites, in fractional coordinates, are Ta at (0.000, 0.000, 0.000), Tl at (0.000, 0.000, 0.500) and Sb at (0.500, 0.500, 0.201).



Record 4
TaTlSb2 | PBEsol | optimized geometry

The calculation puts the total DFT energy (no corrections) at -5.8201 eV/atom. The calculation puts the volume at 199.85 Å³ per cell. The calculation puts the relative energy among the computed polymorphs at 200 meV/atom.

The space group is Immm (No. 71) and the conventional cell measures 3.022, 5.149 and 12.845 Å, with angles of 90.00, 90.00 and 90.00 degrees. The distinct sites, in fractional coordinates, are Ta at (0.000, 0.000, 0.000), Tl at (0.000, 0.000, 0.500) and Sb at (0.000, 0.500, 0.309).



Record 5
TaTlSbW2 | PBEsol | optimized geometry

The calculation puts the total DFT energy (no corrections) at -7.1501 eV/atom. The calculation puts the volume at 118.04 Å³ per cell.

The space group is P4/mmm (No. 123) and the conventional cell measures 4.873, 4.873 and 4.971 Å, with angles of 90.00, 90.00 and 90.00 degrees. The distinct sites, in fractional coordinates, are Ta at (0.000, 0.000, 0.000), Tl at (0.500, 0.500, 0.000), Sb at (0.000, 0.000, 0.500) and W at (0.000, 0.500, 0.500).



Record 6
Ta2SbW | PBEsol | optimized geometry

The calculation puts the total DFT energy (no corrections) at -10.6517 eV/atom. The calculation puts the volume at 72.03 Å³ per cell.

The space group is Pm (No. 6) and the conventional cell measures 2.915, 4.672 and 5.411 Å, with angles of 90.00, 102.26 and 90.00 degrees. The distinct sites, in fractional coordinates, are Ta at (0.000, 0.000, 0.000), Ta at (0.238, 0.500, 0.729), Sb at (0.679, 0.000, 0.481) and W at (0.726, 0.500, 0.204).



Record 7
TaSb4W | PBEsol | optimized geometry

The calculation puts the total DFT energy (no corrections) at -5.9598 eV/atom. The calculation puts the volume at 552.21 Å³ per cell.

The space group is F-43m (No. 216) and the conventional cell measures 8.204, 8.204 and 8.204 Å, with angles of 90.00, 90.00 and 90.00 degrees. The distinct sites, in fractional coordinates, are Ta at (0.000, 0.000, 0.000), Sb at (0.125, 0.125, 0.625) and W at (0.250, 0.250, 0.250).



Record 8
Ta2SbW | PBEsol | optimized geometry

The calculation puts the total DFT energy (no corrections) at -10.7141 eV/atom. The calculation puts the volume at 71.41 Å³ per cell.

The space group is P4mm (No. 99) and the conventional cell measures 3.474, 3.474 and 5.918 Å, with angles of 90.00, 90.00 and 90.00 degrees. The distinct sites, in fractional coordinates, are Ta at (0.000, 0.000, 0.000), Ta at (0.500, 0.500, 0.246), Sb at (0.500, 0.500, 0.742) and W at (0.000, 0.000, 0.483).



no.,uncorrected formation energy (eV per atom)
1,0.69
2,0.55
3,0.05
4,0.25
5,2.32
6,0.22
7,1.47
8,0.15